Record 1
TcTeBr2: optimized geometry, GGA-PBE.

POSCAR file:
```
TcTeBr2
1.0
5.571 -0.001 0.000
-1.460 5.376 0.000
0.000 0.000 3.360
Tc Br Te
1 2 1
direct
0.500 0.000 0.500 Tc
0.500 0.500 0.000 Br
0.000 0.000 0.000 Br
0.000 0.500 0.500 Te
```

Properties
V   100.6 Å³ per cell
Raw formation energy   3.683 eV/f.u.
Spin magnetization   4.140 μB/f.u.
Total DFT energy (no corrections)   -3.29 eV/atom
ρ   6.361 Mg/m³
Distance to the lowest polymorph of the same formula   3.90 eV per formula unit



Record 2
TcTe2Br: optimized geometry, GGA-PBE.

POSCAR file:
```
TcTe2Br
1.0
-3.678 5.478 -1.456
-5.914 3.045 -1.187
-2.708 3.027 4.886
Tc Te Br
1 2 1
direct
0.245 0.245 0.136 Tc
0.759 0.759 0.802 Te
0.907 0.907 0.108 Te
0.589 0.589 0.454 Br
```

Properties
V   122.0 Å³ per cell
Raw formation energy   0.126 eV/f.u.
Spin magnetization   0.000 μB/f.u.
Total DFT energy (no corrections)   -4.55 eV/atom
ρ   5.894 Mg/m³
Distance to the lowest polymorph of the same formula   0.87 eV per formula unit



Record 3
TcTe2Br: optimized geometry, GGA-PBE.

POSCAR file:
```
TcTe2Br
1.0
6.770 -2.657 -0.532
-2.617 6.786 -0.532
-2.449 -2.435 3.470
Te Tc Br
2 1 1
direct
0.232 0.768 0.500 Te
0.100 0.900 0.000 Te
0.754 0.246 0.500 Tc
0.414 0.586 0.000 Br
```

Properties
V   110.8 Å³ per cell
Raw formation energy   0.687 eV/f.u.
Spin magnetization   0.618 μB/f.u.
Total DFT energy (no corrections)   -4.41 eV/atom
ρ   6.490 Mg/m³
Distance to the lowest polymorph of the same formula   1.43 eV per formula unit



Record 4
TcTeBr2: optimized geometry, GGA-PBE.

POSCAR file:
```
TcTeBr2
1.0
6.880 0.003 -0.003
4.253 5.409 0.003
-5.037 -3.796 2.750
Br Tc Te
2 1 1
direct
0.996 0.996 0.000 Br
0.674 0.174 0.500 Br
0.496 0.496 0.000 Tc
0.334 0.834 0.500 Te
```

Properties
V   102.4 Å³ per cell
Raw formation energy   0.966 eV/f.u.
Spin magnetization   0.000 μB/f.u.
Total DFT energy (no corrections)   -3.97 eV/atom
ρ   6.252 Mg/m³
Distance to the lowest polymorph of the same formula   1.18 eV per formula unit



Record 5
TcTeBr2: optimized geometry, GGA-PBE.

POSCAR file:
```
TcTeBr2
1.0
0.741 1.037 5.017
1.054 4.837 1.515
-3.535 2.717 2.631
Br Te Tc
2 1 1
direct
0.250 0.250 0.250 Br
0.750 0.750 0.750 Br
0.500 0.500 0.500 Te
0.000 0.000 0.000 Tc
```

Properties
V   98.1 Å³ per cell
Raw formation energy   3.634 eV/f.u.
Spin magnetization   2.782 μB/f.u.
Total DFT energy (no corrections)   -3.30 eV/atom
ρ   6.524 Mg/m³
Distance to the lowest polymorph of the same formula   3.85 eV per formula unit



Record 6
TcTeBr2: optimized geometry, GGA-PBE.

POSCAR file:
```
TcTeBr2
1.0
10.447 -0.081 -0.048
9.907 3.315 -0.048
9.907 1.574 2.918
Br Tc Te
2 1 1
direct
0.970 0.970 0.970 Br
0.530 0.530 0.530 Br
0.250 0.250 0.250 Tc
0.750 0.750 0.750 Te
```

Properties
V   105.1 Å³ per cell
Raw formation energy   0.775 eV/f.u.
Spin magnetization   1.351 μB/f.u.
Total DFT energy (no corrections)   -4.02 eV/atom
ρ   6.091 Mg/m³
Distance to the lowest polymorph of the same formula   0.99 eV per formula unit



Look up the V of the third one. 110.8 Å³ per cell



Copy entry 6 word for word.
TcTeBr2: optimized geometry, GGA-PBE.

POSCAR file:
```
TcTeBr2
1.0
10.447 -0.081 -0.048
9.907 3.315 -0.048
9.907 1.574 2.918
Br Tc Te
2 1 1
direct
0.970 0.970 0.970 Br
0.530 0.530 0.530 Br
0.250 0.250 0.250 Tc
0.750 0.750 0.750 Te
```

Properties
V   105.1 Å³ per cell
Raw formation energy   0.775 eV/f.u.
Spin magnetization   1.351 μB/f.u.
Total DFT energy (no corrections)   -4.02 eV/atom
ρ   6.091 Mg/m³
Distance to the lowest polymorph of the same formula   0.99 eV per formula unit